Entry 1:
Below is a relaxed Sc2RuW crystal, with properties calculated at the GGA-PBE level.

Results
N(E_F) ... 3.68 states/eV/cell
E above lowest polymorph ... 287 meV/atom
Energy relative to the elements ... 0.17 eV/atom
Space-group type ... No. 65

abc: 5.165 5.165 2.951
angles: 90.00 90.00 115.55
Fractional coordinates of all 4 atoms:
Sc  0.000  0.000  0.000
Sc  0.500  0.500  0.000
W  0.500  0.000  0.500
Ru  0.000  0.500  0.500

---

Entry 2:
Below is a relaxed Sc2RuW crystal, with properties calculated at the GGA-PBE level.

Results
N(E_F) ... 3.24 states/eV/cell
E above lowest polymorph ... 119 meV/atom
Energy relative to the elements ... 0.00 eV/atom
Space-group type ... No. 6

abc: 4.421 2.999 5.567
angles: 76.11 90.00 90.00
Fractional coordinates of all 4 atoms:
Sc  0.500  0.240  0.269
Sc  0.000  0.974  0.979
W  0.000  0.552  0.522
Ru  0.500  0.735  0.730

---

Entry 3:
Below is a relaxed Sc2RuW crystal, with properties calculated at the GGA-PBE level.

Results
N(E_F) ... 5.30 states/eV/cell
E above lowest polymorph ... 288 meV/atom
Energy relative to the elements ... 0.17 eV/atom
Space-group type ... No. 119

abc: 5.470 5.470 5.470
angles: 138.65 138.65 59.91
Fractional coordinates of all 4 atoms:
W  0.500  0.500  0.000
Sc  0.000  0.000  0.000
Sc  0.250  0.750  0.500
Ru  0.750  0.250  0.500

---

Entry 4:
Below is a relaxed ScRu2W crystal, with properties calculated at the GGA-PBE level.

Results
N(E_F) ... 3.78 states/eV/cell
Energy relative to the elements ... -0.05 eV/atom
Space-group type ... No. 6

abc: 4.473 2.847 5.127
angles: 77.13 90.00 90.00
Fractional coordinates of all 4 atoms:
Sc  0.000  0.503  0.473
Ru  0.000  0.003  0.968
Ru  0.500  0.230  0.285
W  0.500  0.764  0.774

---

Entry 5:
Below is a relaxed ScRu2W crystal, with properties calculated at the GGA-PBE level.

Results
N(E_F) ... 3.66 states/eV/cell
Energy relative to the elements ... 0.05 eV/atom
Space-group type ... No. 47

abc: 3.195 4.748 4.175
angles: 90.00 90.00 90.00
Fractional coordinates of all 4 atoms:
Ru  0.000  0.000  0.000
Ru  0.500  0.500  0.000
W  0.000  0.500  0.500
Sc  0.500  0.000  0.500

---

Entry 6:
Below is a relaxed Sc2RuW crystal, with properties calculated at the GGA-PBE level.

Results
N(E_F) ... 3.11 states/eV/cell
E above lowest polymorph ... 280 meV/atom
Energy relative to the elements ... 0.16 eV/atom
Space-group type ... No. 160

abc: 9.506 9.506 9.506
angles: 18.47 18.47 18.47
Fractional coordinates of all 4 atoms:
Sc  0.012  0.012  0.012
Sc  0.241  0.241  0.241
Ru  0.755  0.755  0.755
W  0.492  0.492  0.492

---

What did the fourth record say?
Below is a relaxed ScRu2W crystal, with properties calculated at the GGA-PBE level.

Results
N(E_F) ... 3.78 states/eV/cell
Energy relative to the elements ... -0.05 eV/atom
Space-group type ... No. 6

abc: 4.473 2.847 5.127
angles: 77.13 90.00 90.00
Fractional coordinates of all 4 atoms:
Sc  0.000  0.503  0.473
Ru  0.000  0.003  0.968
Ru  0.500  0.230  0.285
W  0.500  0.764  0.774

---

Please write out number 1 again, unchanged.
Below is a relaxed Sc2RuW crystal, with properties calculated at the GGA-PBE level.

Results
N(E_F) ... 3.68 states/eV/cell
E above lowest polymorph ... 287 meV/atom
Energy relative to the elements ... 0.17 eV/atom
Space-group type ... No. 65

abc: 5.165 5.165 2.951
angles: 90.00 90.00 115.55
Fractional coordinates of all 4 atoms:
Sc  0.000  0.000  0.000
Sc  0.500  0.500  0.000
W  0.500  0.000  0.500
Ru  0.000  0.500  0.500

---

Q: Which of these has the highest N(E_F)?
A: number 3